# 1
VASP calculation (GGA-PBE) on Ac2Al5Ag3 after structural relaxation.

```
data_Ac2Al5Ag3
_symmetry_space_group_name_H-M 'P -4 m 2'
_symmetry_Int_Tables_number 115
_symmetry_space_group_name_Hall 'P -4 -2'
_cell_length_a 4.464
_cell_length_b 4.464
_cell_length_c 11.496
_cell_angle_alpha 90.00
_cell_angle_beta 90.00
_cell_angle_gamma 90.00
loop_
_atom_site_label
_atom_site_type_symbol
_atom_site_fract_x
_atom_site_fract_y
_atom_site_fract_z
Ac1 Ac 0.000 0.500 0.243
Al1 Al 0.000 0.000 0.000
Al2 Al 0.000 0.000 0.500
Al3 Al 0.000 0.500 0.869
Al4 Al 0.500 0.500 0.000
Ag1 Ag 0.000 0.500 0.642
Ag2 Ag 0.500 0.500 0.500
```

Computed properties:
As for the total energy: -38.5 eV per cell. For the energy relative to the lowest polymorph listed for this composition, the calculation gives 0.064 eV/atom. The value obtained for the formation energy is -3.04 eV per formula unit. For the theoretical density, the calculation gives 6.61 g/cm³. For the spin magnetization, the calculation gives 0.000 Bohr magnetons per cell. As for the density of states at the Fermi level: 0.6107 states/eV/atom.

# 2
VASP calculation (GGA-PBE) on AcAlAg3 after structural relaxation.

```
data_AcAlAg3
_symmetry_space_group_name_H-M 'P n m a'
_symmetry_Int_Tables_number 62
_symmetry_space_group_name_Hall '-P 2ac 2n'
_cell_length_a 9.369
_cell_length_b 4.776
_cell_length_c 10.395
_cell_angle_alpha 90.00
_cell_angle_beta 90.00
_cell_angle_gamma 90.00
loop_
_atom_site_label
_atom_site_type_symbol
_atom_site_fract_x
_atom_site_fract_y
_atom_site_fract_z
Ac1 Ac 0.195 0.250 0.006
Al1 Al 0.090 0.250 0.652
Ag1 Ag 0.070 0.250 0.397
Ag2 Ag 0.137 0.750 0.213
Ag3 Ag 0.139 0.750 0.795
```

Computed properties:
As for the total energy: -69.7 eV per cell. For the energy relative to the lowest polymorph listed for this composition, the calculation gives 0.000 eV/atom. The value obtained for the formation energy is -1.03 eV per formula unit. For the theoretical density, the calculation gives 8.25 g/cm³. For the spin magnetization, the calculation gives 0.000 Bohr magnetons per cell. As for the density of states at the Fermi level: 0.5880 states/eV/atom.

> Look up the energy relative to the lowest polymorph listed for this composition of the first one.

0.064 eV/atom

> Among the records above, which one has the lowest density of states at the Fermi level?

AcAlAg3